First-principles (PBE-GGA) data for RbNa3Ti after structural relaxation, as listed in Alexandria via LeMat-Bulk.

The structure belongs to space group Pm-3m (No. 221); the cell edges are 6.0717, 6.0717 and 6.0717 Å and the angles 90.00°, 90.00° and 90.00°. The asymmetric unit holds Rb at (0.0000, 0.0000, 0.0000), Na at (0.0000, 0.0000, 0.5000) and Ti at (0.5000, 0.5000, 0.5000).

The value obtained for the magnetization is 0.4 μB per cell. The value obtained for the energy above the most stable polymorph in this dataset is 525.2 meV/atom. The crystal system is cubic. The value obtained for the density is 1.50 g/cm3. The calculation puts the total energy at -1.27 eV per atom.